The following is a PBE-GGA calculation of a relaxed CeHoTeP crystal, from the Alexandria database.

a b c (Å): 4.109 4.109 22.012
angles (deg): 90.00 90.00 120.00
Positions (direct):
Ce1 0.000 0.000 0.000
Ce2 0.333 0.667 0.667
Ce3 0.667 0.333 0.333
Ho1 0.000 0.000 0.195
Ho2 0.333 0.667 0.861
Ho3 0.667 0.333 0.528
Te1 0.000 0.000 0.433
Te2 0.333 0.667 0.099
Te3 0.667 0.333 0.766
P1 0.000 0.000 0.596
P2 0.333 0.667 0.263
P3 0.667 0.333 0.929

Results
As for the space group: R3m (160). Its crystal system is trigonal.

The following is a PBE-GGA calculation of a relaxed PuZr2PaN4 crystal, from the Alexandria database.

a b c (Å): 5.814 3.364 5.894
angles (deg): 90.00 109.17 90.00
Positions (direct):
Pu1 0.000 0.000 0.000
Zr1 0.000 0.500 0.500
Zr2 0.500 0.000 0.500
Pa1 0.500 0.500 0.000
N1 0.249 0.000 0.734
N2 0.261 0.500 0.266
N3 0.739 0.500 0.734
N4 0.751 0.000 0.266

Results
As for the space group: P2/m (10). Its crystal system is monoclinic.

The following is a PBE-GGA calculation of a relaxed UZn8Fe4 crystal, from the Alexandria database.

a b c (Å): 6.648 6.648 6.648
angles (deg): 98.09 98.09 135.93
Positions (direct):
U1 0.000 0.000 0.000
Zn1 0.000 0.343 0.343
Zn2 0.000 0.657 0.657
Zn3 0.274 0.500 0.774
Zn4 0.343 0.000 0.343
Zn5 0.500 0.274 0.774
Zn6 0.500 0.726 0.226
Zn7 0.657 0.000 0.657
Zn8 0.726 0.500 0.226
Fe1 0.000 0.000 0.500
Fe2 0.000 0.500 0.000
Fe3 0.500 0.000 0.000
Fe4 0.500 0.500 0.500

Results
As for the space group: I4/mmm (139). The value obtained for the energy relative to the elements is 0.03 eV per atom. Its crystal system is tetragonal.

The following is a PBE-GGA calculation of a relaxed CuAsO3 crystal, from the Alexandria database.

a b c (Å): 7.686 7.686 5.488
angles (deg): 90.00 90.00 158.33
Positions (direct):
Cu1 0.084 0.916 0.500
Cu2 0.916 0.084 0.000
As1 0.338 0.662 0.475
As2 0.662 0.338 0.975
O1 0.109 0.891 0.162
O2 0.234 0.766 0.869
O3 0.419 0.581 0.241
O4 0.581 0.419 0.741
O5 0.766 0.234 0.369
O6 0.891 0.109 0.662

Results
As for the space group: Cmc2_1 (36). Its crystal system is orthorhombic.

The following is a PBE-GGA calculation of a relaxed TeOsSe2 crystal, from the Alexandria database.

a b c (Å): 3.550 3.550 25.683
angles (deg): 90.00 90.00 120.00
Positions (direct):
Te1 0.000 0.000 0.000
Te2 0.333 0.667 0.667
Te3 0.667 0.333 0.333
Os1 0.000 0.000 0.500
Os2 0.333 0.667 0.167
Os3 0.667 0.333 0.833
Se1 0.000 0.000 0.222
Se2 0.000 0.000 0.778
Se3 0.333 0.667 0.444
Se4 0.333 0.667 0.889
Se5 0.667 0.333 0.111
Se6 0.667 0.333 0.556

Results
As for the space group: R-3m (166). Its crystal system is trigonal.

The following is a PBE-GGA calculation of a relaxed Sn5P2O10 crystal, from the Alexandria database.

a b c (Å): 7.318 7.363 13.398
angles (deg): 89.23 85.79 61.71
Positions (direct):
Sn1 0.010 0.187 0.172
Sn2 0.066 0.269 0.863
Sn3 0.190 0.695 0.380
Sn4 0.326 0.208 0.620
Sn5 0.443 0.287 0.130
Sn6 0.557 0.713 0.870
Sn7 0.674 0.792 0.380
Sn8 0.810 0.305 0.620
Sn9 0.934 0.731 0.137
Sn10 0.990 0.813 0.828
P1 0.070 0.296 0.396
P2 0.479 0.735 0.126
P3 0.521 0.265 0.874
P4 0.930 0.704 0.604
O1 0.070 0.209 0.708
O2 0.086 0.206 0.505
O3 0.116 0.406 0.149
O4 0.127 0.117 0.319
O5 0.160 0.539 0.614
O6 0.227 0.381 0.382
O7 0.324 0.966 0.112
O8 0.355 0.287 0.800
O9 0.357 0.621 0.168
O10 0.396 0.366 0.974
O11 0.604 0.634 0.026
O12 0.643 0.379 0.832
O13 0.645 0.713 0.200
O14 0.676 0.034 0.888
O15 0.773 0.619 0.618
O16 0.840 0.461 0.386
O17 0.873 0.883 0.681
O18 0.884 0.594 0.851
O19 0.914 0.794 0.495
O20 0.930 0.791 0.292

Results
As for the space group: P-1 (2). Its crystal system is triclinic.

The following is a PBE-GGA calculation of a relaxed LiGdLuTh crystal, from the Alexandria database.

a b c (Å): 7.722 7.722 7.722
angles (deg): 90.00 90.00 90.00
Positions (direct):
Li1 0.000 0.000 0.000
Li2 0.000 0.500 0.500
Li3 0.500 0.000 0.500
Li4 0.500 0.500 0.000
Gd1 0.250 0.250 0.750
Gd2 0.250 0.750 0.250
Gd3 0.750 0.250 0.250
Gd4 0.750 0.750 0.750
Lu1 0.000 0.000 0.500
Lu2 0.000 0.500 0.000
Lu3 0.500 0.000 0.000
Lu4 0.500 0.500 0.500
Th1 0.250 0.250 0.250
Th2 0.250 0.750 0.750
Th3 0.750 0.250 0.750
Th4 0.750 0.750 0.250

Results
As for the space group: F-43m (216). The value obtained for the energy relative to the elements is 0.20 eV per atom. Its crystal system is cubic.

The following is a PBE-GGA calculation of a relaxed K2SbPd4Pb3 crystal, from the Alexandria database.

a b c (Å): 4.913 4.913 10.802
angles (deg): 90.00 90.00 90.00
Positions (direct):
K1 0.000 0.500 0.244
K2 0.500 0.000 0.756
Sb1 0.000 0.000 0.500
Pd1 0.000 0.000 0.000
Pd2 0.000 0.500 0.621
Pd3 0.500 0.000 0.379
Pd4 0.500 0.500 0.000
Pb1 0.000 0.500 0.880
Pb2 0.500 0.000 0.120
Pb3 0.500 0.500 0.500

Results
As for the space group: P-4m2 (115). Its crystal system is tetragonal.

no.,E_tot (eV/atom),V (Å³/atom)
1,-6.219,26.83
2,-10.884,13.61
3,-4.229,14.57
4,-5.488,11.97
5,-5.143,23.36
6,-6.468,18.64
7,-6.782,28.77
8,-4.110,26.08